1.
The following is a PBE-GGA calculation of an optimized crystal structure of LiHfInCo, from OQMD.

magnetic moment	3.71	μB/cell
crystal system	cubic
total energy	-5.6318	eV per atom
relative energy among the computed polymorphs	0.000	eV/atom

```
data_LiHfInCo
_cell_length_a 6.2951
_cell_length_b 6.2951
_cell_length_c 6.2951
_cell_angle_alpha 90.00
_cell_angle_beta 90.00
_cell_angle_gamma 90.00
_space_group_name_H-M_alt 'F -4 3 m'
_space_group_IT_number 216
_space_group_name_Hall 'F -4 2 3'
loop_
_atom_site_label
_atom_site_fract_x
_atom_site_fract_y
_atom_site_fract_z
Li1 0.0000 0.0000 0.0000
Hf1 0.2500 0.2500 0.7500
In1 0.2500 0.2500 0.2500
Co1 0.0000 0.0000 0.5000
```

***

2.
The following is a PBE-GGA calculation of an optimized crystal structure of LiHfInCo, from OQMD.

magnetic moment	1.31	μB/cell
crystal system	cubic
total energy	-5.2393	eV per atom
relative energy among the computed polymorphs	0.392	eV/atom

```
data_LiHfInCo
_cell_length_a 6.3943
_cell_length_b 6.3943
_cell_length_c 6.3943
_cell_angle_alpha 90.00
_cell_angle_beta 90.00
_cell_angle_gamma 90.00
_space_group_name_H-M_alt 'F -4 3 m'
_space_group_IT_number 216
_space_group_name_Hall 'F -4 2 3'
loop_
_atom_site_label
_atom_site_fract_x
_atom_site_fract_y
_atom_site_fract_z
Li1 0.0000 0.0000 0.0000
Hf1 0.2500 0.2500 0.2500
In1 0.0000 0.0000 0.5000
Co1 0.2500 0.2500 0.7500
```

***

3.
The following is a PBE-GGA calculation of an optimized crystal structure of LuHfInCo, from OQMD.

magnetic moment	3.98	μB/cell
crystal system	cubic
total energy	-5.9622	eV per atom
relative energy among the computed polymorphs	0.000	eV/atom

```
data_LuHfInCo
_cell_length_a 6.7652
_cell_length_b 6.7652
_cell_length_c 6.7652
_cell_angle_alpha 90.00
_cell_angle_beta 90.00
_cell_angle_gamma 90.00
_space_group_name_H-M_alt 'F -4 3 m'
_space_group_IT_number 216
_space_group_name_Hall 'F -4 2 3'
loop_
_atom_site_label
_atom_site_fract_x
_atom_site_fract_y
_atom_site_fract_z
Lu1 0.0000 0.0000 0.0000
Hf1 0.2500 0.2500 0.7500
In1 0.2500 0.2500 0.2500
Co1 0.0000 0.0000 0.5000
```

***

4.
The following is a PBE-GGA calculation of an optimized crystal structure of HfScInCo, from OQMD.

magnetic moment	4.00	μB/cell
crystal system	cubic
total energy	-6.5621	eV per atom
relative energy among the computed polymorphs	0.000	eV/atom

```
data_HfScInCo
_cell_length_a 6.6074
_cell_length_b 6.6074
_cell_length_c 6.6074
_cell_angle_alpha 90.00
_cell_angle_beta 90.00
_cell_angle_gamma 90.00
_space_group_name_H-M_alt 'F -4 3 m'
_space_group_IT_number 216
_space_group_name_Hall 'F -4 2 3'
loop_
_atom_site_label
_atom_site_fract_x
_atom_site_fract_y
_atom_site_fract_z
Hf1 0.0000 0.0000 0.0000
Sc1 0.2500 0.2500 0.2500
In1 0.0000 0.0000 0.5000
Co1 0.2500 0.2500 0.7500
```

***

5.
The following is a PBE-GGA calculation of an optimized crystal structure of HfTaInCo, from OQMD.

magnetic moment	12.00	μB/cell
crystal system	cubic
total energy	-7.6345	eV per atom
relative energy among the computed polymorphs	0.000	eV/atom

```
data_HfTaInCo
_cell_length_a 6.5833
_cell_length_b 6.5833
_cell_length_c 6.5833
_cell_angle_alpha 90.00
_cell_angle_beta 90.00
_cell_angle_gamma 90.00
_space_group_name_H-M_alt 'F -4 3 m'
_space_group_IT_number 216
_space_group_name_Hall 'F -4 2 3'
loop_
_atom_site_label
_atom_site_fract_x
_atom_site_fract_y
_atom_site_fract_z
Hf1 0.0000 0.0000 0.0000
Ta1 0.2500 0.2500 0.2500
In1 0.0000 0.0000 0.5000
Co1 0.2500 0.2500 0.7500
```

***

6.
The following is a PBE-GGA calculation of an optimized crystal structure of HfInCoW, from OQMD.

magnetic moment	7.78	μB/cell
crystal system	cubic
total energy	-7.8459	eV per atom
relative energy among the computed polymorphs	0.000	eV/atom

```
data_HfInCoW
_cell_length_a 6.5076
_cell_length_b 6.5076
_cell_length_c 6.5076
_cell_angle_alpha 90.00
_cell_angle_beta 90.00
_cell_angle_gamma 90.00
_space_group_name_H-M_alt 'F -4 3 m'
_space_group_IT_number 216
_space_group_name_Hall 'F -4 2 3'
loop_
_atom_site_label
_atom_site_fract_x
_atom_site_fract_y
_atom_site_fract_z
Hf1 0.0000 0.0000 0.0000
In1 0.0000 0.0000 0.5000
Co1 0.2500 0.2500 0.7500
W1 0.2500 0.2500 0.2500
```

***

7.
The following is a PBE-GGA calculation of an optimized crystal structure of HfZnInCo, from OQMD.

magnetic moment	1.12	μB/cell
crystal system	cubic
total energy	-5.1803	eV per atom
relative energy among the computed polymorphs	0.229	eV/atom

```
data_HfZnInCo
_cell_length_a 6.4224
_cell_length_b 6.4224
_cell_length_c 6.4224
_cell_angle_alpha 90.00
_cell_angle_beta 90.00
_cell_angle_gamma 90.00
_space_group_name_H-M_alt 'F -4 3 m'
_space_group_IT_number 216
_space_group_name_Hall 'F -4 2 3'
loop_
_atom_site_label
_atom_site_fract_x
_atom_site_fract_y
_atom_site_fract_z
Hf1 0.0000 0.0000 0.0000
Zn1 0.2500 0.2500 0.7500
In1 0.2500 0.2500 0.2500
Co1 0.0000 0.0000 0.5000
```

***

8.
The following is a PBE-GGA calculation of an optimized crystal structure of HfZnInCo, from OQMD.

magnetic moment	0.14	μB/cell
crystal system	cubic
total energy	-5.4094	eV per atom
relative energy among the computed polymorphs	0.000	eV/atom

```
data_HfZnInCo
_cell_length_a 6.3805
_cell_length_b 6.3805
_cell_length_c 6.3805
_cell_angle_alpha 90.00
_cell_angle_beta 90.00
_cell_angle_gamma 90.00
_space_group_name_H-M_alt 'F -4 3 m'
_space_group_IT_number 216
_space_group_name_Hall 'F -4 2 3'
loop_
_atom_site_label
_atom_site_fract_x
_atom_site_fract_y
_atom_site_fract_z
Hf1 0.0000 0.0000 0.0000
Zn1 0.2500 0.2500 0.2500
In1 0.0000 0.0000 0.5000
Co1 0.2500 0.2500 0.7500
```